## LiVSiCO7 (PBE with a Hubbard U)

Data for a geometry-optimized LiVSiCO7 structure.

Cell: 5.5978 6.3329 8.6539 Å, 90.00 94.19 90.00°
Last column: nearest neighbours and their distance in Å.
Space group P2_1 (No. 4)
Unique sites:
Li 0.2469 0.0000 0.3280 (multiplicity 2)  3 O 1.94-1.99
V 0.2076 0.6320 0.8384 (multiplicity 2)  6 O 1.81-2.01
Si 0.2636 0.1312 0.9496 (multiplicity 2)  4 O 1.63-1.65
C 0.2624 0.6701 0.5589 (multiplicity 2)  3 O 1.23-1.34
O 0.0541 0.6422 0.6211 (multiplicity 2)  1 C 1.33
O 0.1090 0.1220 0.1032 (multiplicity 2)  1 Si 1.64
O 0.2015 0.9210 0.8455 (multiplicity 2)  1 Si 1.63
O 0.2047 0.3387 0.8426 (multiplicity 2)  1 Si 1.63
O 0.2911 0.7251 0.4254 (multiplicity 2)  1 C 1.23
O 0.4374 0.6387 0.6703 (multiplicity 2)  1 C 1.34
O 0.4506 0.6300 0.9890 (multiplicity 2)  1 Si 1.65, 1 V 1.81

Summary:
* E: -7.287 eV per atom
* density: 2.279 g/cm³
* Fermi-level density of states: 0.00 states/eV per cell
* crystal system: monoclinic